Entry 1:
Zr2Fe7 | PBE | optimized geometry

Geometry as CIF:
```
data_Zr2Fe7
_chemical_formula_sum 'Zr4 Fe14'
_cell_length_a 4.817
_cell_length_b 4.817
_cell_length_c 12.154
_cell_angle_alpha 92.77
_cell_angle_beta 92.77
_cell_angle_gamma 120.87
_symmetry_space_group_name_H-M 'P 1'
_symmetry_Int_Tables_number 1
loop_
_symmetry_equiv_pos_as_xyz
'x,y,z'
loop_
_atom_site_label
_atom_site_type_symbol
_atom_site_fract_x
_atom_site_fract_y
_atom_site_fract_z
_atom_site_occupancy
Zr1 Zr 0.205 0.205 0.119 1
Zr2 Zr 0.270 0.270 0.383 1
Zr3 Zr 0.730 0.730 0.617 1
Zr4 Zr 0.795 0.795 0.881 1
Fe1 Fe 0.053 0.389 0.579 1
Fe2 Fe 0.138 0.474 0.922 1
Fe3 Fe 0.236 0.736 0.250 1
Fe4 Fe 0.263 0.263 0.750 1
Fe5 Fe 0.264 0.764 0.750 1
Fe6 Fe 0.389 0.053 0.579 1
Fe7 Fe 0.474 0.138 0.922 1
Fe8 Fe 0.526 0.862 0.078 1
Fe9 Fe 0.611 0.947 0.421 1
Fe10 Fe 0.736 0.236 0.250 1
Fe11 Fe 0.737 0.737 0.250 1
Fe12 Fe 0.764 0.264 0.750 1
Fe13 Fe 0.862 0.526 0.078 1
Fe14 Fe 0.947 0.611 0.421 1
```

* energy of formation: -0.162 eV per atom

Entry 2:
RbNbTe | PBE | optimized geometry

Geometry as CIF:
```
data_RbNbTe
_chemical_formula_sum 'Rb1 Nb1 Te1'
_cell_length_a 5.468
_cell_length_b 5.468
_cell_length_c 5.468
_cell_angle_alpha 60.00
_cell_angle_beta 60.00
_cell_angle_gamma 60.00
_symmetry_space_group_name_H-M 'P 1'
_symmetry_Int_Tables_number 1
loop_
_symmetry_equiv_pos_as_xyz
'x,y,z'
loop_
_atom_site_label
_atom_site_type_symbol
_atom_site_fract_x
_atom_site_fract_y
_atom_site_fract_z
_atom_site_occupancy
Rb1 Rb 0.000 0.000 0.000 1
Nb1 Nb 0.750 0.750 0.750 1
Te1 Te 0.250 0.250 0.250 1
```

* VASP energy: -3.436 eV/atom

Entry 3:
Hf3TlO | PBE | optimized geometry

Geometry as CIF:
```
data_Hf3TlO
_chemical_formula_sum 'Hf6 Tl2 O2'
_cell_length_a 6.065
_cell_length_b 6.065
_cell_length_c 9.369
_cell_angle_alpha 90.00
_cell_angle_beta 90.00
_cell_angle_gamma 148.47
_symmetry_space_group_name_H-M 'P 1'
_symmetry_Int_Tables_number 1
loop_
_symmetry_equiv_pos_as_xyz
'x,y,z'
loop_
_atom_site_label
_atom_site_type_symbol
_atom_site_fract_x
_atom_site_fract_y
_atom_site_fract_z
_atom_site_occupancy
Hf1 Hf 0.027 0.973 0.750 1
Hf2 Hf 0.374 0.626 0.526 1
Hf3 Hf 0.374 0.626 0.974 1
Hf4 Hf 0.626 0.374 0.026 1
Hf5 Hf 0.626 0.374 0.474 1
Hf6 Hf 0.973 0.027 0.250 1
Tl1 Tl 0.250 0.750 0.250 1
Tl2 Tl 0.750 0.250 0.750 1
O1 O 0.000 0.000 0.000 1
O2 O 0.000 0.000 0.500 1
```

* VASP energy: -8.384 eV/atom

Entry 4:
IrOs2W | PBE | optimized geometry

Geometry as CIF:
```
data_IrOs2W
_chemical_formula_sum 'Ir2 Os4 W2'
_cell_length_a 4.412
_cell_length_b 5.553
_cell_length_c 5.553
_cell_angle_alpha 59.87
_cell_angle_beta 90.00
_cell_angle_gamma 90.00
_symmetry_space_group_name_H-M 'P 1'
_symmetry_Int_Tables_number 1
loop_
_symmetry_equiv_pos_as_xyz
'x,y,z'
loop_
_atom_site_label
_atom_site_type_symbol
_atom_site_fract_x
_atom_site_fract_y
_atom_site_fract_z
_atom_site_occupancy
Ir1 Ir 0.000 0.249 0.751 1
Ir2 Ir 0.000 0.751 0.249 1
Os1 Os 0.000 0.251 0.251 1
Os2 Os 0.500 0.417 0.919 1
Os3 Os 0.500 0.919 0.417 1
Os4 Os 0.500 0.919 0.919 1
W1 W 0.000 0.752 0.752 1
W2 W 0.500 0.417 0.417 1
```

* energy of formation: -0.186 eV per atom

Number 1: V 240.88 Å³ per cell. Number 2: V 115.59 Å³ per cell. Number 3: V 180.25 Å³ per cell. Number 4: V 117.63 Å³ per cell.